Here is a geometry-optimized Tm7Ga5Hg structure from Alexandria. Energies are from PBE.

Output
The value obtained for the calculated total energy is -3.960 eV per atom. The value obtained for the formation energy is -458 kJ/mol of formula units.

Cell lengths 7.751, 7.751, 7.751 Å; angles 133.13, 99.92, 98.29 degrees
Element x y z (fractional)
Tm 0.000 0.000 0.000
Tm 0.332 0.653 0.680
Tm 0.367 0.367 0.000
Tm 0.448 0.127 0.322
Tm 0.805 0.127 0.678
Tm 0.877 0.377 0.500
Tm 0.973 0.653 0.320
Ga 0.138 0.139 0.490
Ga 0.138 0.648 0.999
Ga 0.387 0.887 0.500
Ga 0.649 0.139 0.001
Ga 0.649 0.648 0.510
Hg 0.682 0.682 0.000